# Na2ScVF6 | Alexandria | PBE+U | optimized geometry
data_Na2ScVF6
_chemical_formula_sum 'Na4 Sc2 V2 F12'
_cell_length_a 5.8104
_cell_length_b 8.3289
_cell_length_c 6.1596
_cell_angle_alpha 90.00
_cell_angle_beta 90.00
_cell_angle_gamma 90.00
_space_group_name_H-M_alt 'P m m n'
_space_group_IT_number 59
loop_
_space_group_symop_operation_xyz
'x,y,z'
'-x,-y,-z'
'-x+1/2,-y+1/2,z'
'x+1/2,y+1/2,-z'
'x+1/2,-y,-z'
'-x+1/2,y,z'
'-x,y+1/2,-z'
'x,-y+1/2,z'
loop_
_atom_site_label
_atom_site_fract_x
_atom_site_fract_y
_atom_site_fract_z
Na1 0.2500 0.0480 0.2314
Sc1 0.2500 0.2500 0.7418
V1 0.2500 0.7500 0.7545
F1 0.0246 0.2500 0.0183
F2 0.0275 0.2500 0.4680
F3 0.2500 0.0042 0.7605
# size of the total moment = 0.349 μB per atom
# E = -5.608 eV/atom
# DOS at the Fermi energy = 0.22 states/eV/atom